TbHfTa | GGA-PBE | optimized geometry

Cell lengths 15.3932, 15.3932, 15.3932 Å; angles 12.23, 12.23, 12.23 degrees
Positions (direct):
Tb 0.1323 0.1323 0.1323
Tb 0.8677 0.8677 0.8677
Hf 0.4053 0.4053 0.4053
Hf 0.5947 0.5947 0.5947
Ta 0.3112 0.3112 0.3112
Ta 0.6888 0.6888 0.6888

Properties
The calculation puts the total energy at -8.525 eV per atom. As for the crystal system: trigonal. The energy relative to the elements is 287 meV per atom. The symmetry is R-3m (166).


Cs2Rb8HgAu | GGA-PBE | optimized geometry

Cell lengths 7.9735, 10.4465, 12.5341 Å; angles 90.18, 98.87, 90.02 degrees
Positions (direct):
Cs 0.0003 0.2458 0.0000
Cs 0.9997 0.7542 0.0000
Rb 0.0743 0.5008 0.3408
Rb 0.1028 0.0008 0.3521
Rb 0.4234 0.2367 0.6870
Rb 0.4229 0.7643 0.6869
Rb 0.5771 0.2357 0.3131
Rb 0.5766 0.7633 0.3130
Rb 0.8972 0.9992 0.6479
Rb 0.9257 0.4992 0.6592
Hg 0.5000 0.5000 0.5000
Au 0.5000 0.0000 0.5000

Properties
The calculation puts the total energy at -1.122 eV per atom. As for the crystal system: triclinic. The energy relative to the elements is -36 meV per atom. The symmetry is P-1 (2).


Y3HfGa | GGA-PBE | optimized geometry

Cell lengths 5.5319, 5.5319, 5.5319 Å; angles 90.00, 90.00, 90.00 degrees
Positions (direct):
Y 0.0000 0.0000 0.5000
Y 0.0000 0.5000 0.0000
Y 0.5000 0.0000 0.0000
Hf 0.0000 0.0000 0.0000
Ga 0.5000 0.5000 0.5000

Properties
The calculation puts the total energy at -5.727 eV per atom. As for the crystal system: cubic. The energy relative to the elements is 748 meV per atom. For the energy above the lowest structure with this stoichiometry, the calculation gives 315 meV per atom. The symmetry is Pm-3m (221).


NaPrHoCd | GGA-PBE | optimized geometry

Cell lengths 5.4842, 5.4842, 5.4842 Å; angles 60.00, 60.00, 60.00 degrees
Positions (direct):
Na 0.0000 0.0000 0.0000
Pr 0.7500 0.7500 0.7500
Ho 0.2500 0.2500 0.2500
Cd 0.5000 0.5000 0.5000

Properties
The calculation puts the total energy at -2.873 eV per atom. As for the crystal system: cubic. The energy relative to the elements is 25 meV per atom. The symmetry is F-43m (216).


Ac3YMn2N6 | GGA-PBE | optimized geometry

Cell lengths 5.9662, 5.9662, 6.9297 Å; angles 90.00, 90.00, 120.00 degrees
Positions (direct):
Ac 0.0000 0.0000 0.0000
Ac 0.3333 0.6667 0.6700
Ac 0.6667 0.3333 0.3300
Y 0.0000 0.0000 0.5000
Mn 0.3333 0.6667 0.2082
Mn 0.6667 0.3333 0.7918
N 0.1737 0.3475 0.2899
N 0.1737 0.8263 0.2899
N 0.3475 0.1737 0.7101
N 0.6525 0.8263 0.2899
N 0.8263 0.1737 0.7101
N 0.8263 0.6525 0.7101

Properties
The calculation puts the total energy at -8.167 eV per atom. As for the crystal system: trigonal. The calculation puts the formation energy from raw total energies at -0.91 eV/atom. The symmetry is P-3m1 (164).


Na2ZrBeTc | GGA-PBE | optimized geometry

Cell lengths 4.4918, 4.4918, 4.6596 Å; angles 90.00, 90.00, 90.00 degrees
Positions (direct):
Na 0.0000 0.5000 0.0000
Na 0.5000 0.0000 0.0000
Zr 0.0000 0.0000 0.5000
Be 0.5000 0.5000 0.0000
Tc 0.5000 0.5000 0.5000

Properties
The calculation puts the total energy at -4.023 eV per atom. As for the crystal system: tetragonal. The energy relative to the elements is 1032 meV per atom. The symmetry is P4/mmm (123).